Record 1
A relaxed structure of BaCa2Tl8. Source: Alexandria via LeMat-Bulk, functional PBE.

Cell: 4.9690 6.7157 11.6450 Å, 106.76 101.83 90.00°
Atoms (fractional coordinates):
Ba 0.0000 0.0000 0.0000
Ca 0.2150 0.7147 0.4294
Ca 0.7850 0.2853 0.5706
Tl 0.6301 0.3648 0.2499
Tl 0.3699 0.1150 0.7501
Tl 0.8029 0.8065 0.6131
Tl 0.1971 0.1935 0.3869
Tl 0.6301 0.8850 0.2499
Tl 0.3699 0.6352 0.7501
Tl 0.0782 0.5687 0.1374
Tl 0.9218 0.4313 0.8626

Properties
Space group: C2/m

Record 2
A relaxed structure of Ba5Ca2Tl5. Source: Alexandria via LeMat-Bulk, functional PBE.

Cell: 5.9650 5.9650 15.8704 Å, 78.86 78.86 60.03°
Atoms (fractional coordinates):
Ba 0.5000 0.5000 0.5000
Ba 0.3114 0.3114 0.0656
Ba 0.2215 0.2215 0.3382
Ba 0.7785 0.7785 0.6618
Ba 0.6886 0.6886 0.9344
Ca 0.0688 0.0688 0.7902
Ca 0.9312 0.9312 0.2098
Tl 0.8572 0.8572 0.4301
Tl 0.3971 0.3971 0.8036
Tl 0.6029 0.6029 0.1964
Tl 0.1428 0.1428 0.5699
Tl 0.0000 0.0000 0.0000

Properties
Space group: C2/m

In the order shown, the computed energy values come out to -2.45, -2.45 eV/atom.
In the order shown, the computed ΔE_f values come out to -194, -324 meV/atom.
In the order shown, the computed DOS(E_F) values come out to 6.85, 10.41 states/eV per cell.